The following is a PBE calculation of a relaxed structure of Pm4SbTe2, from the Alexandria database.

abc: 4.3201 14.3817 14.7371
angles: 90.00 90.00 90.00
With the nearest neighbours (Å) after each atom.
Space group Cmcm (No. 63)
Asymmetric unit:
Pm  0.0000  0.0000  0.0000 (multiplicity 4)  4 Te 3.11
Pm  0.0000  0.2837  0.1296 (multiplicity 8)  3 Te 3.03-3.13, 2 Sb 3.27
Pm  0.0000  0.4429  0.7500 (multiplicity 4)  2 Te 3.02, 2 Sb 3.11
Sb  0.0000  0.0988  0.7500 (multiplicity 4)  6 Pm 3.11-3.27
Te  0.0000  0.3578  0.5627 (multiplicity 8)  6 Pm 3.02-3.13

Values from the calculation:
calculated density = 6.942 g/cm³
raw total energy = -5.286 eV per atom
ΔE_f (raw) = -1.085 eV per atom